Entry 1:
Below is NdGd after structural relaxation, with properties calculated at the PBE level.

Computed properties:
Energy above the most stable polymorph in this dataset in kJ per mole of atoms: 0.0
Total DFT energy (no corrections) in eV per atom: -4.681
Size of the total moment in μB/f.u.: 0.0

extended XYZ file:
```
2
Lattice="3.6547 0.0000 0.0000 -1.8274 3.1651 0.0000 0.0000 0.0000 5.8482" Properties=species:S:1:pos:R:3 pbc="T T T"
Nd 0.0000 0.0000 0.0000
Gd 0.0000 2.1101 2.9241
```

---

Entry 2:
Below is ZnCoNiW after structural relaxation, with properties calculated at the PBE level.

Computed properties:
Energy above the most stable polymorph in this dataset in kJ per mole of atoms: 20.4
Total DFT energy (no corrections) in eV per atom: -6.455
Size of the total moment in μB/f.u.: 0.0

extended XYZ file:
```
4
Lattice="0.0000 2.9315 2.9315 2.9315 0.0000 2.9315 2.9315 2.9315 0.0000" Properties=species:S:1:pos:R:3 pbc="T T T"
Zn 0.0000 0.0000 0.0000
Co 1.4658 1.4658 1.4658
Ni 2.9315 2.9315 2.9315
W 4.3973 4.3973 4.3973
```

---

Entry 3:
Below is LiDyHgSe3 after structural relaxation, with properties calculated at the PBE level.

Computed properties:
Energy above the most stable polymorph in this dataset in kJ per mole of atoms: 8.2
Total DFT energy (no corrections) in eV per atom: -3.920
Size of the total moment in μB/f.u.: 0.0

extended XYZ file:
```
12
Lattice="2.0400 -6.6714 0.0000 2.0400 6.6714 0.0000 0.0000 0.0000 11.1003" Properties=species:S:1:pos:R:3 pbc="T T T"
Li 2.0400 3.6072 8.3252
Li 2.0400 -3.6072 2.7751
Dy 0.0000 0.0000 0.0000
Dy 0.0000 0.0000 5.5502
Hg 2.0400 0.3733 2.7751
Hg 2.0400 -0.3733 8.3252
Se 2.0400 5.2787 2.7751
Se 2.0400 1.9275 0.6622
Se 2.0400 1.9275 4.8880
Se 2.0400 -1.9275 6.2124
Se 2.0400 -1.9275 10.4381
Se 2.0400 -5.2787 8.3252
```

---

Entry 4:
Below is SiSnW after structural relaxation, with properties calculated at the PBE level.

Computed properties:
Energy above the most stable polymorph in this dataset in kJ per mole of atoms: 3.1
Total DFT energy (no corrections) in eV per atom: -6.678
Size of the total moment in μB/f.u.: 0.0

extended XYZ file:
```
3
Lattice="0.0000 3.1314 3.1314 3.1314 0.0000 3.1314 3.1314 3.1314 0.0000" Properties=species:S:1:pos:R:3 pbc="T T T"
Si 0.0000 0.0000 0.0000
Sn 3.1314 3.1314 3.1314
W 1.5657 1.5657 1.5657
```

---

Number 1 is which compound? NdGd